1.
Material: BeSi2Br
Method: DFT, GGA-PBE
State: relaxed

Results
E_form (uncorrected)   48 meV per atom
Energy above the most stable polymorph in this dataset   0 meV/atom

```
data_BeSi2Br
_cell_length_a 3.830
_cell_length_b 3.830
_cell_length_c 7.365
_cell_angle_alpha 93.86
_cell_angle_beta 93.86
_cell_angle_gamma 57.11
_space_group_name_H-M_alt 'P 1'
_space_group_IT_number 1
loop_
_space_group_symop_operation_xyz
'x,y,z'
loop_
_atom_site_label
_atom_site_fract_x
_atom_site_fract_y
_atom_site_fract_z
Si1 0.896 0.896 0.858
Si2 0.557 0.557 0.751
Br1 0.252 0.252 0.356
Be1 0.794 0.794 0.536
```

---

2.
Material: TeS2Br2
Method: DFT, GGA-PBE
State: relaxed

Results
E_form (uncorrected)   169 meV per atom
Energy above the most stable polymorph in this dataset   335 meV/atom

```
data_TeS2Br2
_cell_length_a 7.831
_cell_length_b 7.831
_cell_length_c 7.278
_cell_angle_alpha 90.00
_cell_angle_beta 90.00
_cell_angle_gamma 90.00
_space_group_name_H-M_alt 'P 1'
_space_group_IT_number 1
loop_
_space_group_symop_operation_xyz
'x,y,z'
loop_
_atom_site_label
_atom_site_fract_x
_atom_site_fract_y
_atom_site_fract_z
S1 0.914 0.414 0.500
S2 0.086 0.586 0.500
S3 0.414 0.086 0.500
S4 0.586 0.914 0.500
Te1 0.500 0.500 0.000
Te2 0.000 0.000 0.000
Br1 0.744 0.244 0.000
Br2 0.256 0.756 0.000
Br3 0.244 0.256 0.000
Br4 0.756 0.744 0.000
```

---

3.
Material: VCrSeN2
Method: DFT, GGA-PBE
State: relaxed

Results
E_form (uncorrected)   284 meV per atom
Energy above the most stable polymorph in this dataset   0 meV/atom

```
data_VCrSeN2
_cell_length_a 3.742
_cell_length_b 3.742
_cell_length_c 5.284
_cell_angle_alpha 90.00
_cell_angle_beta 90.00
_cell_angle_gamma 90.00
_space_group_name_H-M_alt 'P 1'
_space_group_IT_number 1
loop_
_space_group_symop_operation_xyz
'x,y,z'
loop_
_atom_site_label
_atom_site_fract_x
_atom_site_fract_y
_atom_site_fract_z
Se1 0.000 0.000 0.500
N1 0.000 0.500 0.000
N2 0.500 0.000 0.000
Cr1 0.500 0.500 0.500
V1 0.000 0.000 0.000
```

---

4.
Material: Co2HgRuW
Method: DFT, GGA-PBE
State: relaxed

Results
Energy of formation   1987.8 meV per atom

```
data_Co2HgRuW
_cell_length_a 4.342
_cell_length_b 4.342
_cell_length_c 5.030
_cell_angle_alpha 90.00
_cell_angle_beta 90.00
_cell_angle_gamma 90.00
_space_group_name_H-M_alt 'P 1'
_space_group_IT_number 1
loop_
_space_group_symop_operation_xyz
'x,y,z'
loop_
_atom_site_label
_atom_site_fract_x
_atom_site_fract_y
_atom_site_fract_z
Hg1 0.000 0.000 0.500
Co1 0.000 0.500 0.000
Co2 0.500 0.000 0.000
W1 0.500 0.500 0.500
Ru1 0.000 0.000 0.000
```

---

5.
Material: Fe6Ni8Mo
Method: DFT, GGA-PBE
State: relaxed

Results
Energy of formation   432.2 meV per atom

```
data_Fe6Ni8Mo
_cell_length_a 5.902
_cell_length_b 5.902
_cell_length_c 7.204
_cell_angle_alpha 65.82
_cell_angle_beta 65.82
_cell_angle_gamma 60.00
_space_group_name_H-M_alt 'P 1'
_space_group_IT_number 1
loop_
_space_group_symop_operation_xyz
'x,y,z'
loop_
_atom_site_label
_atom_site_fract_x
_atom_site_fract_y
_atom_site_fract_z
Ni1 0.576 0.061 0.588
Ni2 0.700 0.700 0.901
Ni3 0.424 0.939 0.412
Ni4 0.061 0.776 0.588
Ni5 0.776 0.576 0.588
Ni6 0.300 0.300 0.099
Ni7 0.224 0.424 0.412
Ni8 0.939 0.224 0.412
Fe1 0.320 0.818 0.199
Fe2 0.680 0.182 0.801
Fe3 0.662 0.320 0.199
Fe4 0.818 0.662 0.199
Fe5 0.338 0.680 0.801
Fe6 0.182 0.338 0.801
Mo1 0.000 0.000 0.000
```

---

6.
Material: InRe2Au
Method: DFT, GGA-PBE
State: relaxed

Results
Energy of formation   566.9 meV per atom

```
data_InRe2Au
_cell_length_a 4.864
_cell_length_b 4.864
_cell_length_c 4.864
_cell_angle_alpha 129.40
_cell_angle_beta 129.40
_cell_angle_gamma 74.38
_space_group_name_H-M_alt 'P 1'
_space_group_IT_number 1
loop_
_space_group_symop_operation_xyz
'x,y,z'
loop_
_atom_site_label
_atom_site_fract_x
_atom_site_fract_y
_atom_site_fract_z
Re1 0.250 0.750 0.500
Re2 0.000 0.000 0.000
Au1 0.500 0.500 0.000
In1 0.750 0.250 0.500
```

---

| no. | DOS at the Fermi energy (states/eV/cell) |
| --- | --- |
| 1 | 0.64 |
| 2 | 6.82 |
| 3 | 1.99 |
| 4 | 7.76 |
| 5 | 18.43 |
| 6 | 3.64 |